A relaxed structure of PrSmDy3Sc, computed with GGA-PBE.

Cell: 7.921 7.921 9.999 Å, 90.00 90.00 143.11°
Sites, in units of the cell vectors:
Pr 0.000 0.000 0.000
Pr 0.000 0.000 0.500
Sm 0.498 0.502 0.750
Sm 0.502 0.498 0.250
Dy 0.170 0.830 0.750
Dy 0.331 0.669 0.000
Dy 0.331 0.669 0.500
Dy 0.669 0.331 0.000
Dy 0.669 0.331 0.500
Dy 0.830 0.170 0.250
Sc 0.168 0.832 0.250
Sc 0.832 0.168 0.750

Results
- space group = Cmcm
- calculated density (g/cm3) = 7.3
- volume (Å³ per cell) = 376.62
- ΔH_f (0 K) (eV/atom) = 0.04